1.
Compound: Pu2CdAg
Source: the Alexandria database
Functional: GGA-PBE
Structure: relaxed

Unit cell a=4.0617 b=4.0617 c=6.0718 alpha=90.00 beta=90.00 gamma=90.00
With the nearest neighbours (Å) after each atom.
Positions (direct):
Pu 0.0000 0.0000 0.2448  2 Pu 2.97-3.10, 4 Ag 3.23, 4 Cd 3.26
Cd 0.5000 0.5000 0.5000  2 Ag 3.04, 8 Pu 3.26
Pu 0.0000 0.0000 0.7552  2 Pu 2.97-3.10, 4 Ag 3.23, 4 Cd 3.26
Ag 0.5000 0.5000 0.0000  2 Cd 3.04, 8 Pu 3.23

Values from the calculation:
Theoretical density = 11.74 g/cm3
Formation enthalpy at 0 K = 0.3 eV/f.u.

2.
Compound: PuCd4Ag5
Source: the Alexandria database
Functional: GGA-PBE
Structure: relaxed

Unit cell a=3.1902 b=3.1902 c=19.7863 alpha=90.00 beta=90.00 gamma=90.00
With the nearest neighbours (Å) after each atom.
Positions (direct):
Ag 0.5000 0.5000 0.8838  4 Cd 2.93, 4 Ag 3.19, 4 Pu 3.22
Ag 0.5000 0.5000 0.5000  8 Cd 2.95, 4 Ag 3.19
Cd 0.0000 0.0000 0.4041  8 Ag 2.95-2.96, 4 Cd 3.19
Ag 0.5000 0.5000 0.1162  4 Cd 2.93, 4 Ag 3.19, 4 Pu 3.22
Cd 0.0000 0.0000 0.7893  8 Ag 2.93-2.96, 4 Cd 3.19
Ag 0.5000 0.5000 0.6924  8 Cd 2.96, 4 Ag 3.19
Cd 0.0000 0.0000 0.5959  8 Ag 2.95-2.96, 4 Cd 3.19
Ag 0.5000 0.5000 0.3076  8 Cd 2.96, 4 Ag 3.19
Cd 0.0000 0.0000 0.2107  8 Ag 2.93-2.96, 4 Cd 3.19
Pu 0.0000 0.0000 0.0000  4 Pu 3.19, 8 Ag 3.22

Values from the calculation:
Theoretical density = 10.17 g/cm3
Formation enthalpy at 0 K = -0.3 eV/f.u.

3.
Compound: PuCdAg2
Source: the Alexandria database
Functional: GGA-PBE
Structure: relaxed

Unit cell a=3.1546 b=3.1546 c=8.5286 alpha=90.00 beta=90.00 gamma=90.00
With the nearest neighbours (Å) after each atom.
Positions (direct):
Ag 0.0000 0.0000 0.7721  4 Cd 2.96, 4 Ag 3.15, 4 Pu 3.22
Cd 0.5000 0.5000 0.0000  8 Ag 2.96, 4 Cd 3.15
Ag 0.0000 0.0000 0.2279  4 Cd 2.96, 4 Ag 3.15, 4 Pu 3.22
Pu 0.5000 0.5000 0.5000  4 Pu 3.15, 8 Ag 3.22

Values from the calculation:
Theoretical density = 11.19 g/cm3
Formation enthalpy at 0 K = 0.0 eV/f.u.

4.
Compound: PuCdAg4
Source: the Alexandria database
Functional: GGA-PBE
Structure: relaxed

Unit cell a=5.6189 b=5.6189 c=5.6189 alpha=60.00 beta=60.00 gamma=60.00
With the nearest neighbours (Å) after each atom.
Positions (direct):
Ag 0.6254 0.6254 0.6254  6 Ag 2.80-2.82
Ag 0.6254 0.1239 0.6254  6 Ag 2.80-2.82
Ag 0.1239 0.6254 0.6254  6 Ag 2.80-2.82
Pu 0.2500 0.2500 0.2500  12 Ag 3.30, 4 Cd 3.44
Ag 0.6254 0.6254 0.1239  6 Ag 2.80-2.82
Cd 0.0000 0.0000 0.0000  12 Ag 3.29, 4 Pu 3.44

Values from the calculation:
Theoretical density = 10.43 g/cm3
Formation enthalpy at 0 K = 0.0 eV/f.u.

5.
Compound: Pu2Cd2Ag3
Source: the Alexandria database
Functional: GGA-PBE
Structure: relaxed

Unit cell a=2.9960 b=5.0580 c=10.6852 alpha=103.67 beta=90.00 gamma=90.00
With the nearest neighbours (Å) after each atom.
Positions (direct):
Cd 0.0000 0.4282 0.8568  3 Ag 2.93-2.97, 3 Cd 2.97-3.00
Pu 0.5000 0.8528 0.7059  2 Pu 3.00, 6 Ag 3.24-3.26, 4 Cd 3.33
Ag 0.0000 0.7148 0.4294  4 Ag 2.92-3.00, 1 Cd 2.97, 6 Pu 3.24-3.26
Pu 0.5000 0.1472 0.2941  2 Pu 3.00, 6 Ag 3.24-3.26, 4 Cd 3.33
Ag 0.0000 0.2852 0.5706  4 Ag 2.92-3.00, 1 Cd 2.97, 6 Pu 3.24-3.26
Cd 0.0000 0.5718 0.1432  3 Ag 2.93-2.97, 3 Cd 2.97-3.00
Ag 0.0000 0.0000 0.0000  4 Cd 2.93-2.94, 2 Ag 3.00

Values from the calculation:
Theoretical density = 10.94 g/cm3
Formation enthalpy at 0 K = -0.2 eV/f.u.

6.
Compound: PuCd7Ag5
Source: the Alexandria database
Functional: GGA-PBE
Structure: relaxed

Unit cell a=5.6169 b=7.5733 c=7.5733 alpha=82.57 beta=68.23 gamma=68.23
With the nearest neighbours (Å) after each atom.
Positions (direct):
Pu 0.0064 0.9936 0.9936  10 Cd 3.39-3.59, 6 Ag 3.50-3.73
Cd 0.5011 0.2013 0.7966  5 Ag 2.87-2.94, 3 Cd 2.97-3.15
Ag 0.9995 0.9997 0.5023  3 Ag 2.80-2.87, 7 Cd 2.87-3.03
Cd 0.9961 0.3497 0.6581  5 Ag 2.98-3.16, 4 Cd 3.08-3.22
Cd 0.3485 0.6515 0.6515  6 Ag 3.02-3.09, 3 Cd 3.05-3.34
Cd 0.9961 0.6581 0.3497  5 Ag 2.98-3.16, 4 Cd 3.08-3.22
Ag 0.4986 0.5023 0.9997  3 Ag 2.80-2.87, 7 Cd 2.87-3.03
Cd 0.2813 0.2187 0.2187  4 Ag 2.89, 6 Cd 2.97-3.22
Ag 0.7172 0.7828 0.7828  4 Ag 2.87, 6 Cd 2.94-3.16
Cd 0.6562 0.3438 0.3438  4 Ag 3.02, 5 Cd 3.05-3.35
Cd 0.5011 0.7966 0.2013  5 Ag 2.87-2.94, 3 Cd 2.97-3.15
Ag 0.9995 0.5023 0.9997  3 Ag 2.80-2.87, 7 Cd 2.87-3.03
Ag 0.4986 0.9997 0.5023  3 Ag 2.80-2.87, 7 Cd 2.87-3.03

Values from the calculation:
Theoretical density = 9.38 g/cm3
Formation enthalpy at 0 K = -0.5 eV/f.u.

7.
Compound: PuCd4Ag4
Source: the Alexandria database
Functional: GGA-PBE
Structure: relaxed

Unit cell a=6.3396 b=6.3396 c=10.0855 alpha=90.00 beta=90.00 gamma=90.00
With the nearest neighbours (Å) after each atom.
Positions (direct):
Ag 0.2730 0.0000 0.2820  5 Cd 2.85-2.97, 1 Ag 2.88
Cd 0.2225 0.5000 0.9235  3 Cd 2.82-2.93, 5 Ag 2.85-2.97
Ag 0.5000 0.7730 0.7820  5 Cd 2.85-2.97, 1 Ag 2.88
Ag 0.0000 0.2730 0.7180  5 Cd 2.85-2.97, 1 Ag 2.88
Pu 0.5000 0.5000 0.5000  4 Ag 3.33, 8 Cd 3.55
Ag 0.7270 0.0000 0.2820  5 Cd 2.85-2.97, 1 Ag 2.88
Pu 0.0000 0.0000 0.0000  4 Ag 3.33, 8 Cd 3.55
Ag 0.2270 0.5000 0.2180  5 Cd 2.85-2.97, 1 Ag 2.88
Cd 0.0000 0.2775 0.4235  3 Cd 2.82-2.93, 5 Ag 2.85-2.97
Cd 0.7775 0.5000 0.9235  3 Cd 2.82-2.93, 5 Ag 2.85-2.97
Ag 0.0000 0.7270 0.7180  5 Cd 2.85-2.97, 1 Ag 2.88
Cd 0.5000 0.2225 0.0765  3 Cd 2.82-2.93, 5 Ag 2.85-2.97
Cd 0.2775 0.0000 0.5765  3 Cd 2.82-2.93, 5 Ag 2.85-2.97
Cd 0.5000 0.7775 0.0765  3 Cd 2.82-2.93, 5 Ag 2.85-2.97
Cd 0.7225 0.0000 0.5765  3 Cd 2.82-2.93, 5 Ag 2.85-2.97
Cd 0.0000 0.7225 0.4235  3 Cd 2.82-2.93, 5 Ag 2.85-2.97
Ag 0.5000 0.2270 0.7820  5 Cd 2.85-2.97, 1 Ag 2.88
Ag 0.7730 0.5000 0.2180  5 Cd 2.85-2.97, 1 Ag 2.88

Values from the calculation:
Theoretical density = 9.22 g/cm3
Formation enthalpy at 0 K = 0.5 eV/f.u.

8.
Compound: Pu3CdAg8
Source: the Alexandria database
Functional: GGA-PBE
Structure: relaxed

Unit cell a=5.6866 b=5.6866 c=9.7780 alpha=73.10 beta=73.10 gamma=60.00
With the nearest neighbours (Å) after each atom.
Positions (direct):
Ag 0.5603 0.0622 0.3153  6 Ag 2.82-2.85
Ag 0.0632 0.5638 0.8092  6 Ag 2.79-2.85
Ag 0.8120 0.8120 0.5639  6 Ag 2.79-2.82
Ag 0.5638 0.5638 0.8092  6 Ag 2.79-2.85
Pu 0.6255 0.6255 0.1234  12 Ag 3.33-3.35, 4 Pu 3.47-3.49
Pu 0.4993 0.4993 0.5020  12 Ag 3.27-3.33, 3 Cd 3.47, 1 Pu 3.49
Cd 0.1250 0.1250 0.6250  12 Ag 3.29-3.33, 4 Pu 3.46-3.47
Ag 0.0622 0.5603 0.3153  6 Ag 2.82-2.85
Ag 0.0622 0.0622 0.3153  6 Ag 2.82-2.85
Ag 0.3129 0.3129 0.0614  6 Ag 2.84-2.85
Ag 0.5638 0.0632 0.8092  6 Ag 2.79-2.85
Pu 0.9998 0.9998 0.0007  12 Ag 3.33-3.35, 1 Cd 3.46, 3 Pu 3.47

Values from the calculation:
Theoretical density = 10.99 g/cm3
Formation enthalpy at 0 K = 0.2 eV/f.u.

9.
Compound: PuCdAgRh
Source: the Alexandria database
Functional: GGA-PBE
Structure: relaxed

Unit cell a=4.8674 b=4.8674 c=4.8674 alpha=60.00 beta=60.00 gamma=60.00
With the nearest neighbours (Å) after each atom.
Positions (direct):
Pu 0.5000 0.5000 0.5000  4 Rh 2.98, 4 Ag 2.98
Rh 0.7500 0.7500 0.7500  4 Cd 2.98, 4 Pu 2.98
Ag 0.2500 0.2500 0.2500  4 Cd 2.98, 4 Pu 2.98
Cd 0.0000 0.0000 0.0000  4 Rh 2.98, 4 Ag 2.98

Values from the calculation:
Theoretical density = 11.55 g/cm3
Formation enthalpy at 0 K = -0.3 eV/f.u.

10.
Compound: PuCdAgSb
Source: the Alexandria database
Functional: GGA-PBE
Structure: relaxed

Unit cell a=5.1484 b=5.1484 c=5.1484 alpha=60.00 beta=60.00 gamma=60.00
With the nearest neighbours (Å) after each atom.
Positions (direct):
Sb 0.0000 0.0000 0.0000  4 Pu 3.15, 4 Cd 3.15
Cd 0.7500 0.7500 0.7500  4 Sb 3.15, 4 Ag 3.15
Pu 0.2500 0.2500 0.2500  4 Ag 3.15, 4 Sb 3.15
Ag 0.5000 0.5000 0.5000  4 Cd 3.15, 4 Pu 3.15

Values from the calculation:
Theoretical density = 10.08 g/cm3
Uncorrected formation energy = -3.2 kcal/mol of atoms

11.
Compound: SmPuCdAg
Source: the Alexandria database
Functional: GGA-PBE
Structure: relaxed

Unit cell a=5.3120 b=5.3120 c=5.3120 alpha=60.00 beta=60.00 gamma=60.00
With the nearest neighbours (Å) after each atom.
Positions (direct):
Pu 0.5000 0.5000 0.5000  4 Ag 3.25, 4 Cd 3.25
Sm 0.0000 0.0000 0.0000  4 Cd 3.25, 4 Ag 3.25
Ag 0.7500 0.7500 0.7500  4 Pu 3.25, 4 Sm 3.25
Cd 0.2500 0.2500 0.2500  4 Sm 3.25, 4 Pu 3.25

Values from the calculation:
Theoretical density = 9.63 g/cm3
Formation enthalpy at 0 K = -0.2 eV/f.u.

12.
Compound: PuCdAgSn
Source: the Alexandria database
Functional: GGA-PBE
Structure: relaxed

Unit cell a=5.1164 b=5.1164 c=5.1164 alpha=60.00 beta=60.00 gamma=60.00
With the nearest neighbours (Å) after each atom.
Positions (direct):
Ag 0.7500 0.7500 0.7500  4 Cd 3.13, 4 Pu 3.13
Pu 0.0000 0.0000 0.0000  4 Sn 3.13, 4 Ag 3.13
Sn 0.2500 0.2500 0.2500  4 Cd 3.13, 4 Pu 3.13
Cd 0.5000 0.5000 0.5000  4 Ag 3.13, 4 Sn 3.13

Values from the calculation:
Theoretical density = 10.22 g/cm3
Formation enthalpy at 0 K = -0.4 eV/f.u.

| no. | volume (Å³/f.u.) |
| --- | --- |
| 1 | 100.2 |
| 2 | 201.4 |
| 3 | 84.9 |
| 4 | 125.4 |
| 5 | 157.3 |
| 6 | 277.8 |
| 7 | 202.7 |
| 8 | 257.9 |
| 9 | 81.5 |
| 10 | 96.5 |
| 11 | 106.0 |
| 12 | 94.7 |